Entry 1:
KHg2SeBr8: relaxed, PBE-GGA.

Cell lengths 6.9947, 8.0405, 9.0136 Å; angles 79.91, 76.84, 86.38 degrees
With the nearest neighbours (Å) after each atom.
Fractional positions:
K 0.0000 0.0000 0.0000  6 Br 3.26-3.49
Hg 0.4942 0.4753 0.7284  2 Br 2.47-2.48
Hg 0.5058 0.5247 0.2716  2 Br 2.47-2.48
Se 0.0000 0.0000 0.5000  4 Br 2.56-2.57
Br 0.2004 0.8439 0.6883  1 Se 2.56
Br 0.2467 0.8918 0.2771  1 Se 2.57
Br 0.2618 0.3782 0.4934  1 Hg 2.48
Br 0.2765 0.3544 0.9761  1 Hg 2.47
Br 0.7235 0.6456 0.0239  1 Hg 2.47
Br 0.7382 0.6218 0.5066  1 Hg 2.48
Br 0.7533 0.1082 0.7229  1 Se 2.57
Br 0.7996 0.1561 0.3117  1 Se 2.56

Properties
Space-group type   P-1 (2)
Energy   -2.062 eV per atom
E_form (uncorrected)   -0.515 eV/atom



Entry 2:
CaNd2Sc: relaxed, PBE-GGA.

Cell lengths 3.5970, 3.5970, 35.8586 Å; angles 90.00, 90.00, 120.00 degrees
With the nearest neighbours (Å) after each atom.
Fractional positions:
Ca 0.0000 0.0000 0.0000  6 Ca 3.60, 6 Nd 3.87-3.89
Ca 0.3333 0.6667 0.6667  6 Ca 3.60, 6 Nd 3.87-3.89
Ca 0.6667 0.3333 0.3333  6 Ca 3.60, 6 Nd 3.87-3.89
Nd 0.0000 0.0000 0.5758  3 Sc 3.41, 6 Nd 3.60
Nd 0.0000 0.0000 0.7584  3 Sc 3.40, 6 Nd 3.60
Nd 0.3333 0.6667 0.2424  3 Sc 3.41, 6 Nd 3.60
Nd 0.3333 0.6667 0.4251  3 Sc 3.40, 6 Nd 3.60
Nd 0.6667 0.3333 0.0918  3 Sc 3.40, 6 Nd 3.60
Nd 0.6667 0.3333 0.9091  3 Sc 3.41, 6 Nd 3.60
Sc 0.0000 0.0000 0.1669  6 Nd 3.40-3.41, 6 Sc 3.60
Sc 0.3333 0.6667 0.8336  6 Nd 3.40-3.41, 6 Sc 3.60
Sc 0.6667 0.3333 0.5002  6 Nd 3.40-3.41, 6 Sc 3.60

Properties
Formation energy   0.078 eV per atom
Space-group type   R3m (160)
Energy   -4.389 eV per atom



Entry 3:
Mn2HPtAu: relaxed, PBE-GGA.

Cell lengths 4.0139, 4.0139, 3.9725 Å; angles 90.00, 90.00, 90.00 degrees
With the nearest neighbours (Å) after each atom.
Fractional positions:
Mn 0.0000 0.5000 0.0000  2 H 2.01
Mn 0.5000 0.0000 0.0000  2 H 2.01
H 0.0000 0.0000 0.0000  2 Au 1.99, 4 Mn 2.01
Pt 0.5000 0.5000 0.5000  8 Mn 2.82, 4 Au 2.84
Au 0.0000 0.0000 0.5000  2 H 1.99

Properties
Space-group type   P4/mmm (123)
Energy   -6.181 eV per atom